1.
A plane-wave DFT calculation with PBE was carried out for YHgP2O after structural relaxation.

Results
offset from the most stable computed form	203.7	meV per atom
formation energy (no corrections)	0.15	eV/atom
symmetry	P4/mmm, No. 123
volume	20.67	Å³ per atom

abc: 4.9616 4.9616 4.1981
angles: 90.00 90.00 90.00
Closest atoms and distances in Å follow each position.
Fractional positions:
Y1 0.0000 0.0000 0.0000  8 P 3.25, 4 O 3.51
Hg1 0.5000 0.5000 0.5000  2 O 2.10
P1 0.0000 0.5000 0.5000  2 Hg 2.48
P2 0.5000 0.0000 0.5000  2 Hg 2.48
O1 0.5000 0.5000 0.0000  2 Hg 2.10

2.
A plane-wave DFT calculation with PBE was carried out for La3Pm4Cd after structural relaxation.

Results
offset from the most stable computed form	0.0	meV per atom
symmetry	Pmn2_1, No. 31
formation energy	-0.05	eV per atom
volume	33.55	Å³ per atom

abc: 11.6443 7.2628 6.3476
angles: 90.00 90.00 90.00
Closest atoms and distances in Å follow each position.
Fractional positions:
La1 0.0000 0.1232 0.0000  5 Pm 3.49-3.69, 2 Cd 3.53-3.82, 4 La 3.53-3.68
La2 0.2334 0.1177 0.6446  2 Cd 3.44-3.74, 4 La 3.53-3.68, 6 Pm 3.54-3.73
La3 0.2666 0.8823 0.1446  2 Cd 3.44-3.74, 4 La 3.53-3.68, 6 Pm 3.54-3.73
La4 0.5000 0.8768 0.5000  5 Pm 3.49-3.69, 2 Cd 3.53-3.82, 4 La 3.53-3.68
La5 0.7334 0.8823 0.1446  2 Cd 3.44-3.74, 4 La 3.53-3.68, 6 Pm 3.54-3.73
La6 0.7666 0.1177 0.6446  2 Cd 3.44-3.74, 4 La 3.53-3.68, 6 Pm 3.54-3.73
Pm1 0.0000 0.3908 0.4570  6 Pm 3.44-3.81, 2 Cd 3.47-3.80, 3 La 3.49-3.57
Pm2 0.0000 0.6317 0.9906  6 Pm 3.44-3.81, 2 Cd 3.51-3.71, 4 La 3.57-3.73
Pm3 0.2368 0.6306 0.6415  1 Cd 3.42, 6 Pm 3.47-3.73, 5 La 3.54-3.73
Pm4 0.2632 0.3694 0.1415  1 Cd 3.42, 6 Pm 3.47-3.73, 5 La 3.54-3.73
Pm5 0.5000 0.3683 0.4906  6 Pm 3.44-3.81, 2 Cd 3.51-3.71, 4 La 3.57-3.73
Pm6 0.5000 0.6092 0.9570  6 Pm 3.44-3.81, 2 Cd 3.47-3.80, 3 La 3.49-3.57
Pm7 0.7368 0.3694 0.1415  1 Cd 3.42, 6 Pm 3.47-3.73, 5 La 3.54-3.73
Pm8 0.7632 0.6306 0.6415  1 Cd 3.42, 6 Pm 3.47-3.73, 5 La 3.54-3.73
Cd1 0.0000 0.8682 0.4728  6 Pm 3.42-3.80, 6 La 3.44-3.82
Cd2 0.5000 0.1318 0.9728  6 Pm 3.42-3.80, 6 La 3.44-3.82

3.
A plane-wave DFT calculation with PBE was carried out for Ba6Al2Hg after structural relaxation.

Results
symmetry	Immm, No. 71
formation energy	-0.13	eV per atom
volume	44.63	Å³ per atom

abc: 10.1502 10.1502 10.1502
angles: 112.07 109.59 106.80
Closest atoms and distances in Å follow each position.
Fractional positions:
Ba1 0.0401 0.8258 0.2143  3 Al 3.55-3.64, 1 Hg 3.95
Ba2 0.2489 0.5336 0.2846  2 Al 3.55-3.66, 2 Hg 3.88-3.90
Ba3 0.2489 0.9643 0.7154  2 Al 3.55-3.66, 2 Hg 3.88-3.90
Ba4 0.2575 0.3255 0.5830  1 Hg 3.60, 3 Al 3.70-3.81, 1 Ba 3.96
Ba5 0.2575 0.6745 0.9319  1 Hg 3.60, 3 Al 3.70-3.81, 1 Ba 3.96
Ba6 0.3884 0.1742 0.2143  3 Al 3.55-3.64, 1 Hg 3.95
Ba7 0.6116 0.8258 0.7857  3 Al 3.55-3.64, 1 Hg 3.95
Ba8 0.7425 0.3255 0.0681  1 Hg 3.60, 3 Al 3.70-3.81, 1 Ba 3.96
Ba9 0.7425 0.6745 0.4170  1 Hg 3.60, 3 Al 3.70-3.81, 1 Ba 3.96
Ba10 0.7511 0.0357 0.2846  2 Al 3.55-3.66, 2 Hg 3.88-3.90
Ba11 0.7511 0.4664 0.7154  2 Al 3.55-3.66, 2 Hg 3.88-3.90
Ba12 0.9599 0.1742 0.7857  3 Al 3.55-3.64, 1 Hg 3.95
Al1 0.0000 0.1195 0.1195  1 Al 2.71
Al2 0.0000 0.8805 0.8805  1 Al 2.71
Al3 0.3921 0.3921 0.0000  1 Al 2.61
Al4 0.6079 0.6079 0.0000  1 Al 2.61
Hg1 0.0000 0.5000 0.5000  8 Ba 3.60-3.88
Hg2 0.5000 0.0000 0.5000  8 Ba 3.90-3.95

4.
A plane-wave DFT calculation with PBE was carried out for Ti2GeBr after structural relaxation.

Results
offset from the most stable computed form	351.6	meV per atom
formation energy (no corrections)	0.17	eV/atom
symmetry	I-42d, No. 122
volume	24.63	Å³ per atom

abc: 7.2110 7.2110 7.2110
angles: 132.98 132.98 68.68
Closest atoms and distances in Å follow each position.
Fractional positions:
Ti1 0.1093 0.6250 0.9843  2 Ge 2.47, 2 Br 2.57
Ti2 0.3750 0.3593 0.4843  2 Ge 2.47, 2 Br 2.57
Ti3 0.6407 0.1250 0.0157  2 Ge 2.47, 2 Br 2.57
Ti4 0.8750 0.8907 0.5157  2 Ge 2.47, 2 Br 2.57
Ge1 0.0000 0.0000 0.0000  4 Ti 2.47
Ge2 0.7500 0.2500 0.5000  4 Ti 2.47
Br1 0.2500 0.7500 0.5000  4 Ti 2.57
Br2 0.5000 0.5000 0.0000  4 Ti 2.57

5.
A plane-wave DFT calculation with PBE was carried out for Tb3PmO6 after structural relaxation.

Results
formation energy (no corrections)	-3.48	eV/atom
symmetry	R-3, No. 148
volume	15.94	Å³ per atom

abc: 6.8333 6.8333 6.8333
angles: 91.33 91.33 91.33
Closest atoms and distances in Å follow each position.
Fractional positions:
Tb1 0.0534 0.5616 0.7514  6 O 2.24-2.41
Tb2 0.2486 0.9466 0.4384  6 O 2.24-2.41
Tb3 0.4384 0.2486 0.9466  6 O 2.24-2.41
Tb4 0.5616 0.7514 0.0534  6 O 2.24-2.41
Tb5 0.7514 0.0534 0.5616  6 O 2.24-2.41
Tb6 0.9466 0.4384 0.2486  6 O 2.24-2.41
Pm1 0.0000 0.0000 0.0000  6 O 2.32
Pm2 0.5000 0.5000 0.5000  6 O 2.35
O1 0.0256 0.8937 0.6769  3 Tb 2.29-2.35, 1 Pm 2.32
O2 0.1063 0.3231 0.9744  3 Tb 2.29-2.35, 1 Pm 2.32
O3 0.1797 0.6002 0.4278  3 Tb 2.24-2.41, 1 Pm 2.35
O4 0.3231 0.9744 0.1063  3 Tb 2.29-2.35, 1 Pm 2.32
O5 0.3998 0.5722 0.8203  3 Tb 2.24-2.41, 1 Pm 2.35
O6 0.4278 0.1797 0.6002  3 Tb 2.24-2.41, 1 Pm 2.35
O7 0.5722 0.8203 0.3998  3 Tb 2.24-2.41, 1 Pm 2.35
O8 0.6002 0.4278 0.1797  3 Tb 2.24-2.41, 1 Pm 2.35
O9 0.6769 0.0256 0.8937  3 Tb 2.29-2.35, 1 Pm 2.32
O10 0.8203 0.3998 0.5722  3 Tb 2.24-2.41, 1 Pm 2.35
O11 0.8937 0.6769 0.0256  3 Tb 2.29-2.35, 1 Pm 2.32
O12 0.9744 0.1063 0.3231  3 Tb 2.29-2.35, 1 Pm 2.32

6.
A plane-wave DFT calculation with PBE was carried out for Na4U3InSe8 after structural relaxation.

Results
formation energy (no corrections)	-1.11	eV/atom
symmetry	C2/m, No. 12
volume	27.12	Å³ per atom

abc: 8.4585 8.4585 8.4574
angles: 119.37 119.37 60.63
Closest atoms and distances in Å follow each position.
Fractional positions:
Na1 0.0000 0.0000 0.0000  6 Se 3.00
Na2 0.0000 0.5000 0.5000  6 Se 3.08-3.15
Na3 0.5000 0.0000 0.5000  6 Se 3.08-3.15
Na4 0.5000 0.5000 0.0000  6 Se 3.07-3.14
U1 0.0000 0.0000 0.5000  6 Se 2.87-2.95
U2 0.0000 0.5000 0.0000  6 Se 2.87-2.94
U3 0.5000 0.0000 0.0000  6 Se 2.87-2.94
In1 0.5000 0.5000 0.5000  6 Se 3.02
Se1 0.2261 0.7506 0.2489  2 U 2.87, 3 Na 3.00-3.15, 1 In 3.02
Se2 0.2450 0.2450 0.7568  3 U 2.94-2.95, 3 Na 3.07-3.08
Se3 0.2492 0.2492 0.2261  2 U 2.87, 3 Na 3.00-3.15, 1 In 3.02
Se4 0.2494 0.7739 0.7511  2 U 2.87, 3 Na 3.00-3.15, 1 In 3.02
Se5 0.7506 0.2261 0.2489  2 U 2.87, 3 Na 3.00-3.15, 1 In 3.02
Se6 0.7508 0.7508 0.7739  2 U 2.87, 3 Na 3.00-3.15, 1 In 3.02
Se7 0.7550 0.7550 0.2432  3 U 2.94-2.95, 3 Na 3.07-3.08
Se8 0.7739 0.2494 0.7511  2 U 2.87, 3 Na 3.00-3.15, 1 In 3.02

7.
A plane-wave DFT calculation with PBE was carried out for CaTbPm2As4 after structural relaxation.

Results
symmetry	P2/m, No. 10
formation energy	-1.36	eV per atom
volume	26.51	Å³ per atom

abc: 7.2870 4.2149 7.3269
angles: 90.00 109.51 90.00
Closest atoms and distances in Å follow each position.
Fractional positions:
Ca1 0.0000 0.0000 0.0000  6 As 2.99-3.00
Tb1 0.0000 0.5000 0.5000  6 As 2.96
Pm1 0.5000 0.0000 0.5000  6 As 2.97-2.98
Pm2 0.5000 0.5000 0.0000  6 As 3.01
As1 0.2465 0.0000 0.7451  2 Tb 2.96, 3 Pm 2.98-3.01, 1 Ca 2.99
As2 0.2501 0.5000 0.2546  1 Tb 2.96, 3 Pm 2.97-3.01, 2 Ca 3.00
As3 0.7499 0.5000 0.7454  1 Tb 2.96, 3 Pm 2.97-3.01, 2 Ca 3.00
As4 0.7535 0.0000 0.2549  2 Tb 2.96, 3 Pm 2.98-3.01, 1 Ca 2.99

8.
A plane-wave DFT calculation with PBE was carried out for Y2PuAgO6 after structural relaxation.

Results
formation energy (no corrections)	-2.69	eV/atom
symmetry	R3, No. 146
volume	15.37	Å³ per atom

abc: 6.1832 6.1832 6.1832
angles: 56.51 56.51 56.51
Closest atoms and distances in Å follow each position.
Fractional positions:
Y1 0.0000 0.0000 0.0000  6 O 2.26-2.34
Y2 0.4852 0.4852 0.4852  6 O 2.25-2.41
Pu1 0.6923 0.6923 0.6923  6 O 2.15-2.16
Ag1 0.2255 0.2255 0.2255  3 O 2.38
O1 0.0775 0.4179 0.7686  1 Pu 2.16, 2 Y 2.25-2.34
O2 0.3108 0.8569 0.6341  1 Pu 2.15, 1 Y 2.26, 1 Ag 2.38
O3 0.4179 0.7686 0.0775  1 Pu 2.16, 2 Y 2.25-2.34
O4 0.6341 0.3108 0.8569  1 Pu 2.15, 1 Y 2.26, 1 Ag 2.38
O5 0.7686 0.0775 0.4179  1 Pu 2.16, 2 Y 2.25-2.34
O6 0.8569 0.6341 0.3108  1 Pu 2.15, 1 Y 2.26, 1 Ag 2.38

Question: Which of these has the lowest volume?
Answer: Y2PuAgO6

What did the second record say?
A plane-wave DFT calculation with PBE was carried out for La3Pm4Cd after structural relaxation.

Results
offset from the most stable computed form	0.0	meV per atom
symmetry	Pmn2_1, No. 31
formation energy	-0.05	eV per atom
volume	33.55	Å³ per atom

abc: 11.6443 7.2628 6.3476
angles: 90.00 90.00 90.00
Closest atoms and distances in Å follow each position.
Fractional positions:
La1 0.0000 0.1232 0.0000  5 Pm 3.49-3.69, 2 Cd 3.53-3.82, 4 La 3.53-3.68
La2 0.2334 0.1177 0.6446  2 Cd 3.44-3.74, 4 La 3.53-3.68, 6 Pm 3.54-3.73
La3 0.2666 0.8823 0.1446  2 Cd 3.44-3.74, 4 La 3.53-3.68, 6 Pm 3.54-3.73
La4 0.5000 0.8768 0.5000  5 Pm 3.49-3.69, 2 Cd 3.53-3.82, 4 La 3.53-3.68
La5 0.7334 0.8823 0.1446  2 Cd 3.44-3.74, 4 La 3.53-3.68, 6 Pm 3.54-3.73
La6 0.7666 0.1177 0.6446  2 Cd 3.44-3.74, 4 La 3.53-3.68, 6 Pm 3.54-3.73
Pm1 0.0000 0.3908 0.4570  6 Pm 3.44-3.81, 2 Cd 3.47-3.80, 3 La 3.49-3.57
Pm2 0.0000 0.6317 0.9906  6 Pm 3.44-3.81, 2 Cd 3.51-3.71, 4 La 3.57-3.73
Pm3 0.2368 0.6306 0.6415  1 Cd 3.42, 6 Pm 3.47-3.73, 5 La 3.54-3.73
Pm4 0.2632 0.3694 0.1415  1 Cd 3.42, 6 Pm 3.47-3.73, 5 La 3.54-3.73
Pm5 0.5000 0.3683 0.4906  6 Pm 3.44-3.81, 2 Cd 3.51-3.71, 4 La 3.57-3.73
Pm6 0.5000 0.6092 0.9570  6 Pm 3.44-3.81, 2 Cd 3.47-3.80, 3 La 3.49-3.57
Pm7 0.7368 0.3694 0.1415  1 Cd 3.42, 6 Pm 3.47-3.73, 5 La 3.54-3.73
Pm8 0.7632 0.6306 0.6415  1 Cd 3.42, 6 Pm 3.47-3.73, 5 La 3.54-3.73
Cd1 0.0000 0.8682 0.4728  6 Pm 3.42-3.80, 6 La 3.44-3.82
Cd2 0.5000 0.1318 0.9728  6 Pm 3.42-3.80, 6 La 3.44-3.82